This record from the Alexandria database describes an optimized crystal structure of ZrTlRe2. The functional is GGA-PBE.

## Properties
total DFT energy (no corrections): -33.782 eV for the cell shown
energy relative to the lowest polymorph listed for this composition: 359.3 meV per atom
SG: I-4m2 (119)
calculated formation energy: 507 meV/atom
V: 72 Å³/f.u.

a b c (Å): 5.149 5.149 5.149
angles (deg): 132.82 132.82 68.94
Sites, in units of the cell vectors:
Zr 0.000 0.000 0.000
Tl 0.750 0.250 0.500
Re 0.250 0.750 0.500
Re 0.500 0.500 0.000